Record 1
TbPrDy2Te6 (PBE, optimized geometry); spin magnetization = 0.0 μB/cell; space group = R3 (146); total DFT energy (no corrections) = -5.11 eV per atom
1.0
7.7915 0.0001 -0.0002
3.8958 6.7476 -0.0003
3.8951 2.2493 7.0654
Te Dy Tb Pr
6 2 1 1
direct
0.2360 0.9123 0.2465
0.3984 0.7323 0.7501
0.7324 0.1191 0.7501
0.1192 0.3984 0.7500
0.6051 0.2360 0.2465
0.9123 0.6051 0.2465
0.0076 0.0076 0.9771
0.5100 0.5100 0.4701
0.3220 0.3220 0.0341
0.8186 0.8186 0.5441



Record 2
Th4InC2 (PBE, optimized geometry); spin magnetization = 0.0 μB/cell; space group = R-3m (166); DOS(E_F) = 7.6 states/eV/cell; energy of formation = -25.3 kJ/mol of atoms
1.0
3.6885 0.0000 0.0000
1.8442 3.1943 0.0000
1.8442 1.0648 14.8023
C Th In
2 4 1
direct
0.4291 0.4291 0.7128
0.5709 0.5709 0.2872
0.2712 0.2712 0.1864
0.8721 0.8721 0.3838
0.1279 0.1279 0.6162
0.7288 0.7288 0.8136
0.0000 0.0000 0.0000



Record 3
Y2AlCo (PBE, optimized geometry); spin magnetization = 0.0 μB/cell; space group = R-3m (166); DOS(E_F) = 2.6 states/eV/cell; energy of formation = -2.5 kJ/mol of atoms
1.0
-4.6845 3.6853 6.1166
-3.4604 0.6944 7.7770
-1.3660 3.6576 7.5957
Y Al Co
2 1 1
direct
0.0154 0.0154 0.0154
0.4846 0.4846 0.4846
0.2500 0.2500 0.2500
0.7500 0.7500 0.7500